Compound: Ta2ZnPAu
Source: Alexandria via LeMat-Bulk
Functional: PBE
Structure: relaxed

Lattice parameters (Å, degrees): 4.8428 4.8428 4.1228 90.00 90.00 90.00
Space group P4/mmm (No. 123)
Symmetry-distinct sites (fractional):
Ta  0.0000  0.5000  0.0000 [2 per cell]
Zn  0.0000  0.0000  0.0000 [1 per cell]
P  0.0000  0.0000  0.5000 [1 per cell]
Au  0.5000  0.5000  0.5000 [1 per cell]

---

Compound: LiCu3Pd3
Source: Alexandria via LeMat-Bulk
Functional: PBE
Structure: relaxed

Lattice parameters (Å, degrees): 8.4343 8.4627 5.7070 90.00 90.00 90.00
Space group Cmmm (No. 65)
Symmetry-distinct sites (fractional):
Li  0.2144  0.0000  0.0000 [4 per cell]
Cu  0.0000  0.2166  0.5000 [4 per cell]
Cu  0.0000  0.2455  0.0000 [4 per cell]
Cu  0.2198  0.0000  0.5000 [4 per cell]
Pd  0.0000  0.5000  0.2570 [4 per cell]
Pd  0.2500  0.2500  0.2493 [8 per cell]

---

These records have energy of formation from the pure elements values of 1308; -92 meV/atom, in the order they appear.
These records have raw total energy values of -5.42; -4.35 eV per atom, in the order they appear.